# PBE LiLu2Al, relaxed
# Volume (A^3/atom): 22.68
# Polymorph energy (0 for the lowest one) (meV/atom): 0
# Energy relative to the elements (eV per formula unit): -0.8
# DOS at the Fermi energy (states/eV per cell): 14.0
data_LiLu2Al
_cell_length_a 7.132
_cell_length_b 7.132
_cell_length_c 7.132
_cell_angle_alpha 90.00
_cell_angle_beta 90.00
_cell_angle_gamma 90.00
_space_group_name_H-M_alt 'F m -3 m'
_space_group_IT_number 225
_space_group_name_Hall '-F 4 2 3'
loop_
_atom_site_label
_atom_site_type_symbol
_atom_site_fract_x
_atom_site_fract_y
_atom_site_fract_z
Li1 Li 0.000 0.000 0.000
Lu1 Lu 0.250 0.250 0.250
Al1 Al 0.000 0.000 0.500

# PBE VW2, relaxed
# Volume (A^3/atom): 15.57
# Energy relative to the elements (eV per formula unit): 0.6
# DOS at the Fermi energy (states/eV per cell): 22.3
data_VW2
_cell_length_a 5.142
_cell_length_b 7.905
_cell_length_c 9.194
_cell_angle_alpha 90.00
_cell_angle_beta 90.00
_cell_angle_gamma 90.00
_space_group_name_H-M_alt 'F d d d'
_space_group_IT_number 70
loop_
_space_group_symop_operation_xyz
'x,y,z'
'-x,-y,-z'
'-x+1/4,-y+1/4,z'
'x+1/4,y+1/4,-z'
'x,-y+1/4,-z+1/4'
'-x,y+1/4,z+1/4'
'-x+1/4,y,-z+1/4'
'x+1/4,-y,z+1/4'
'x,y+1/2,z+1/2'
'-x,-y+1/2,-z+1/2'
'-x+1/4,-y+3/4,z+1/2'
'x+1/4,y+3/4,-z+1/2'
'x,-y+3/4,-z+3/4'
'-x,y+3/4,z+3/4'
'-x+1/4,y+1/2,-z+3/4'
'x+1/4,-y+1/2,z+3/4'
'x+1/2,y,z+1/2'
'-x+1/2,-y,-z+1/2'
'-x+3/4,-y+1/4,z+1/2'
'x+3/4,y+1/4,-z+1/2'
'x+1/2,-y+1/4,-z+3/4'
'-x+1/2,y+1/4,z+3/4'
'-x+3/4,y,-z+3/4'
'x+3/4,-y,z+3/4'
'x+1/2,y+1/2,z'
'-x+1/2,-y+1/2,-z'
'-x+3/4,-y+3/4,z'
'x+3/4,y+3/4,-z'
'x+1/2,-y+3/4,-z+1/4'
'-x+1/2,y+3/4,z+1/4'
'-x+3/4,y+1/2,-z+1/4'
'x+3/4,-y+1/2,z+1/4'
loop_
_atom_site_label
_atom_site_type_symbol
_atom_site_fract_x
_atom_site_fract_y
_atom_site_fract_z
V1 V 0.125 0.125 0.125
W1 W 0.125 0.293 0.625

# PBE LiLaSe2, relaxed
# Volume (A^3/atom): 26.83
# Uncorrected formation energy (eV/atom): -1.668
data_LiLaSe2
_cell_length_a 4.294
_cell_length_b 4.294
_cell_length_c 5.818
_cell_angle_alpha 90.00
_cell_angle_beta 90.00
_cell_angle_gamma 90.00
_space_group_name_H-M_alt 'P 4/m m m'
_space_group_IT_number 123
_space_group_name_Hall '-P 4 2'
loop_
_atom_site_label
_atom_site_type_symbol
_atom_site_fract_x
_atom_site_fract_y
_atom_site_fract_z
Li1 Li 0.000 0.000 0.000
La1 La 0.500 0.500 0.500
Se1 Se 0.000 0.000 0.500
Se2 Se 0.500 0.500 0.000

# PBE AcGd2Zn, relaxed
# Volume (A^3/atom): 30.61
# Polymorph energy (0 for the lowest one) (meV/atom): 151
# Energy relative to the elements (eV per formula unit): 0.0
# DOS at the Fermi energy (states/eV per cell): 5.1
data_AcGd2Zn
_cell_length_a 4.892
_cell_length_b 4.892
_cell_length_c 5.118
_cell_angle_alpha 90.00
_cell_angle_beta 90.00
_cell_angle_gamma 90.00
_space_group_name_H-M_alt 'P 4/m m m'
_space_group_IT_number 123
_space_group_name_Hall '-P 4 2'
loop_
_atom_site_label
_atom_site_type_symbol
_atom_site_fract_x
_atom_site_fract_y
_atom_site_fract_z
Ac1 Ac 0.000 0.000 0.000
Gd1 Gd 0.000 0.500 0.500
Zn1 Zn 0.500 0.500 0.000